A relaxed ScCrO3 crystal. Source: Alexandria via LeMat-Bulk, functional PBE+U.

Total energy (eV/atom): -7.3243
Fermi-level density of states (states/eV/atom): 0.944
Crystal system: cubic

Cell and atoms, written as extended XYZ:
```
5
Lattice="4.004 0.000 0.000 0.000 4.004 0.000 0.000 0.000 4.004" Properties=species:S:1:pos:R:3 pbc="T T T"
O 0.000 2.002 0.000
O 0.000 0.000 2.002
O 2.002 0.000 0.000
Cr 2.002 2.002 2.002
Sc 0.000 0.000 0.000
```